Material: SbPdO4
Method: DFT, PBE
State: optimized geometry

Values from the calculation:
E   -126.46 eV/cell

Geometry as CIF:
```
data_SbPdO4
_space_group_name_H-M_alt 'I 41/a m d'
_space_group_IT_number 141
_cell_length_a 6.644
_cell_length_b 6.644
_cell_length_c 6.944
_cell_angle_alpha 90.00
_cell_angle_beta 90.00
_cell_angle_gamma 90.00
loop_
_space_group_symop_operation_xyz
'x,y,z'
'-x,-y,-z'
'-y+1/4,x+3/4,z+1/4'
'y+1/4,-x+3/4,-z+1/4'
'-x+1/2,-y,z+1/2'
'x+1/2,y,-z+1/2'
'y+1/4,-x+1/4,z+3/4'
'-y+1/4,x+1/4,-z+3/4'
'x,-y,-z'
'-x,y,z'
'-y+1/4,-x+1/4,-z+3/4'
'y+1/4,x+1/4,z+3/4'
'-x+1/2,y,-z+1/2'
'x+1/2,-y,z+1/2'
'y+1/4,x+3/4,-z+1/4'
'-y+1/4,-x+3/4,z+1/4'
'x+1/2,y+1/2,z+1/2'
'-x+1/2,-y+1/2,-z+1/2'
'-y+3/4,x+1/4,z+3/4'
'y+3/4,-x+1/4,-z+3/4'
'-x,-y+1/2,z'
'x,y+1/2,-z'
'y+3/4,-x+3/4,z+1/4'
'-y+3/4,x+3/4,-z+1/4'
'x+1/2,-y+1/2,-z+1/2'
'-x+1/2,y+1/2,z+1/2'
'-y+3/4,-x+3/4,-z+1/4'
'y+3/4,x+3/4,z+1/4'
'-x,y+1/2,-z'
'x,-y+1/2,z'
'y+3/4,x+1/4,-z+3/4'
'-y+3/4,-x+1/4,z+3/4'
loop_
_atom_site_label
_atom_site_type_symbol
_atom_site_fract_x
_atom_site_fract_y
_atom_site_fract_z
_atom_site_occupancy
Sb1 Sb 0.000 0.250 0.375 1
Pd1 Pd 0.000 0.250 0.875 1
O1 O 0.000 0.053 0.170 1
```